Material: Ac4In5Au2
Method: DFT, GGA-PBE
State: optimized geometry

magnetic moment = 0.000 μB per formula unit

Cell: 4.017 8.172 10.475 Å, 94.81 90.00 90.00°
Sites, in units of the cell vectors:
1 In 0.000 0.190 0.155
2 Ac 0.500 0.176 0.869
3 In 0.000 0.453 0.696
4 Ac 0.500 0.248 0.442
5 Ac 0.500 0.824 0.131
6 In 0.000 0.500 0.000
7 In 0.000 0.547 0.304
8 In 0.000 0.810 0.845
9 Au 0.000 0.066 0.637
10 Au 0.000 0.934 0.363
11 Ac 0.500 0.752 0.558

=====

Material: Ac2In2Au
Method: DFT, GGA-PBE
State: optimized geometry

magnetic moment = 0.000 μB per formula unit

Cell: 4.934 6.386 11.038 Å, 86.39 77.08 67.27°
Sites, in units of the cell vectors:
1 Ac 0.071 0.741 0.118
2 In 0.910 0.736 0.444
3 Ac 0.684 0.300 0.333
4 In 0.637 0.838 0.889
5 In 0.090 0.264 0.556
6 In 0.363 0.162 0.111
7 Ac 0.929 0.259 0.882
8 Ac 0.316 0.700 0.667
9 Au 0.610 0.115 0.664
10 Au 0.390 0.885 0.336

=====

no.,energy of formation from the pure elements (eV/f.u.)
1,-5.83
2,-2.83